A plane-wave DFT calculation with GGA-PBE was carried out for UPa2Cd after structural relaxation.

Summary:
energy above the lowest structure with this stoichiometry = 0.0 meV per atom
formation energy from the elements = 0.258 eV/atom
total DFT energy (no corrections) = -7.5408 eV per atom

Cell: 3.6002 3.6002 7.4094 Å, 90.00 90.00 90.00°
With the nearest neighbours (Å) after each atom.
Element x y z (fractional)
U 0.0000 0.0000 0.0000  8 Pa 3.01
Pa 0.5000 0.5000 0.2169  4 U 3.01, 1 Pa 3.21, 4 Cd 3.30
Pa 0.5000 0.5000 0.7831  4 U 3.01, 1 Pa 3.21, 4 Cd 3.30
Cd 0.0000 0.0000 0.5000  8 Pa 3.30, 4 Cd 3.60